No. 1
Compound: PmGe2S6
Source: the Alexandria database
Functional: PBE
Structure: optimized geometry

a b c (Å): 6.5171 8.3245 8.3245
angles (deg): 84.07 77.27 77.27
Fractional positions:
Pm  0.2500  0.1545  0.8455
Pm  0.7500  0.8455  0.1545
Ge  0.2749  0.6335  0.7701
Ge  0.2251  0.2299  0.3665
Ge  0.7251  0.3665  0.2299
Ge  0.7749  0.7701  0.6335
S  0.4955  0.7258  0.5375
S  0.0045  0.4625  0.2742
S  0.5045  0.2742  0.4625
S  0.9955  0.5375  0.7258
S  0.9787  0.8654  0.4112
S  0.5213  0.5888  0.1346
S  0.0213  0.1346  0.5888
S  0.4787  0.4112  0.8654
S  0.1621  0.8292  0.9486
S  0.3379  0.0514  0.1708
S  0.8379  0.1708  0.0514
S  0.6621  0.9486  0.8292

Calculated values
E (eV per atom): -4.92
Crystal system: monoclinic
Formation energy from raw total energies (eV per atom): -0.611
Density (kg/m³): 3737

No. 2
Compound: Pm8Ge5S
Source: the Alexandria database
Functional: PBE
Structure: optimized geometry

a b c (Å): 7.8151 7.8151 7.8151
angles (deg): 109.67 109.07 109.67
Fractional positions:
Pm  0.1265  0.7438  0.0042
Pm  0.9958  0.1223  0.7395
Pm  0.7536  0.2472  0.3696
Pm  0.6304  0.3840  0.8776
Pm  0.4936  0.6160  0.2464
Pm  0.6173  0.8777  0.8735
Pm  0.2605  0.2562  0.3827
Pm  0.1224  0.7528  0.5064
Ge  0.0009  0.3730  0.1247
Ge  0.8753  0.8762  0.2483
Ge  0.7517  0.6270  0.6279
Ge  0.5000  0.0000  0.5000
Ge  0.3721  0.1238  0.9991
S  0.2500  0.5000  0.7500

Calculated values
E (eV per atom): -5.61
Crystal system: tetragonal
Formation energy from raw total energies (eV per atom): -0.953
Density (kg/m³): 7029

No. 3
Compound: Pm3Ge2S
Source: the Alexandria database
Functional: PBE
Structure: optimized geometry

a b c (Å): 6.9756 6.9083 6.9083
angles (deg): 104.15 90.00 90.00
Fractional positions:
Pm  0.2500  0.3835  0.3835
Pm  0.7500  0.6165  0.6165
Pm  0.5000  0.1906  0.8094
Pm  0.0000  0.1906  0.8094
Pm  0.5000  0.8094  0.1906
Pm  0.0000  0.8094  0.1906
Ge  0.7500  0.4383  0.1757
Ge  0.2500  0.5617  0.8243
Ge  0.2500  0.8243  0.5617
Ge  0.7500  0.1757  0.4383
S  0.7500  0.9314  0.9314
S  0.2500  0.0686  0.0686

Calculated values
E (eV per atom): -5.57
Energy relative to the lowest polymorph listed for this composition (meV/atom): 251
Crystal system: orthorhombic
Formation energy from raw total energies (eV per atom): -0.971
Density (kg/m³): 6300

No. 4
Compound: Pm3GeS2
Source: the Alexandria database
Functional: PBE
Structure: optimized geometry

a b c (Å): 6.5748 7.8467 7.8467
angles (deg): 90.37 90.00 90.00
Fractional positions:
Pm  0.7500  0.1054  0.8946
Pm  0.7500  0.2601  0.4279
Pm  0.2500  0.4279  0.2601
Pm  0.7500  0.5721  0.7399
Pm  0.2500  0.7399  0.5721
Pm  0.2500  0.8946  0.1054
Ge  0.2500  0.3723  0.6277
Ge  0.7500  0.6277  0.3723
S  0.0000  0.1650  0.1650
S  0.5000  0.1650  0.1650
S  0.0000  0.8350  0.8350
S  0.5000  0.8350  0.8350

Calculated values
E (eV per atom): -5.44
Energy relative to the lowest polymorph listed for this composition (meV/atom): 782
Crystal system: orthorhombic
Formation energy from raw total energies (eV per atom): -0.916
Density (kg/m³): 4691

No. 5
Compound: Pm4Ge2S
Source: the Alexandria database
Functional: PBE
Structure: optimized geometry

a b c (Å): 7.7510 7.7510 7.7510
angles (deg): 109.93 108.55 109.93
Fractional positions:
Pm  0.7605  0.2607  0.8828
Pm  0.9895  0.6223  0.7502
Pm  0.6221  0.7393  0.4998
Pm  0.1279  0.3777  0.3672
Pm  0.5002  0.1223  0.2395
Pm  0.6328  0.7607  0.0105
Pm  0.2498  0.2393  0.8721
Pm  0.1172  0.8777  0.3779
Ge  0.3750  0.8723  0.7473
Ge  0.4973  0.3723  0.6250
Ge  0.8750  0.1277  0.5027
Ge  0.2527  0.6277  0.1250
S  0.7500  0.5000  0.2500
S  0.0000  0.0000  0.0000

Calculated values
E (eV per atom): -5.70
Energy relative to the lowest polymorph listed for this composition (meV/atom): 0
Crystal system: tetragonal
Formation energy from raw total energies (eV per atom): -1.080
Density (kg/m³): 7018

No. 6
Compound: Pm6Ge3S14
Source: the Alexandria database
Functional: PBE
Structure: optimized geometry

a b c (Å): 5.7838 10.2088 10.2088
angles (deg): 120.00 90.00 90.00
Fractional positions:
Pm  0.2438  0.7921  0.1012
Pm  0.2438  0.8988  0.6909
Pm  0.2438  0.3091  0.2079
Pm  0.7516  0.5405  0.5656
Pm  0.7516  0.4344  0.9749
Pm  0.7516  0.0251  0.4595
Ge  0.8267  0.0000  0.0000
Ge  0.3350  0.3333  0.6667
Ge  0.4827  0.6667  0.3333
S  0.9865  0.0794  0.2286
S  0.9865  0.7714  0.8509
S  0.9865  0.1491  0.9206
S  0.4925  0.2537  0.4378
S  0.4925  0.5622  0.8160
S  0.4925  0.1840  0.7463
S  0.4474  0.0000  0.0000
S  0.9550  0.3333  0.6667
S  0.7236  0.7585  0.1696
S  0.7236  0.8304  0.5889
S  0.7236  0.4111  0.2415
S  0.2340  0.5768  0.5009
S  0.2340  0.4991  0.0759
S  0.2340  0.9241  0.4232

Calculated values
E (eV per atom): -5.83
Crystal system: trigonal
Formation energy from raw total energies (eV per atom): -1.472
Density (kg/m³): 4889

No. 7
Compound: Pm4Ge2S
Source: the Alexandria database
Functional: PBE
Structure: optimized geometry

a b c (Å): 5.1521 5.1521 8.6147
angles (deg): 107.40 107.40 90.00
Fractional positions:
Ge  0.6309  0.6309  0.2618
Ge  0.3691  0.3691  0.7382
S  0.0000  0.0000  0.0000
Pm  0.8211  0.8211  0.6422
Pm  0.1789  0.1789  0.3578
Pm  0.0000  0.5000  0.0000
Pm  0.5000  0.0000  0.0000

Calculated values
E (eV per atom): -5.39
Energy relative to the lowest polymorph listed for this composition (meV/atom): 311
Crystal system: tetragonal
Formation energy from raw total energies (eV per atom): -0.769
Density (kg/m³): 6069

No. 8
Compound: Pm4GeS2
Source: the Alexandria database
Functional: PBE
Structure: optimized geometry

a b c (Å): 4.2255 7.2882 12.0202
angles (deg): 90.00 90.00 90.00
Fractional positions:
Pm  0.0000  0.6240  0.7814
Pm  0.0000  0.3760  0.2186
Pm  0.0000  0.1240  0.7186
Pm  0.0000  0.8760  0.2814
Pm  0.5000  0.7402  0.5460
Pm  0.5000  0.2598  0.4540
Pm  0.5000  0.7598  0.0460
Pm  0.5000  0.2402  0.9540
Ge  0.0000  0.0000  0.5000
Ge  0.0000  0.5000  0.0000
S  0.5000  0.8955  0.8097
S  0.5000  0.1045  0.1903
S  0.5000  0.3955  0.6903
S  0.5000  0.6045  0.3097

Calculated values
E (eV per atom): -5.85
Energy relative to the lowest polymorph listed for this composition (meV/atom): 135
Crystal system: orthorhombic
Formation energy from raw total energies (eV per atom): -1.299
Density (kg/m³): 6431

Please write out number 5 again, unchanged.
Compound: Pm4Ge2S
Source: the Alexandria database
Functional: PBE
Structure: optimized geometry

a b c (Å): 7.7510 7.7510 7.7510
angles (deg): 109.93 108.55 109.93
Fractional positions:
Pm  0.7605  0.2607  0.8828
Pm  0.9895  0.6223  0.7502
Pm  0.6221  0.7393  0.4998
Pm  0.1279  0.3777  0.3672
Pm  0.5002  0.1223  0.2395
Pm  0.6328  0.7607  0.0105
Pm  0.2498  0.2393  0.8721
Pm  0.1172  0.8777  0.3779
Ge  0.3750  0.8723  0.7473
Ge  0.4973  0.3723  0.6250
Ge  0.8750  0.1277  0.5027
Ge  0.2527  0.6277  0.1250
S  0.7500  0.5000  0.2500
S  0.0000  0.0000  0.0000

Calculated values
E (eV per atom): -5.70
Energy relative to the lowest polymorph listed for this composition (meV/atom): 0
Crystal system: tetragonal
Formation energy from raw total energies (eV per atom): -1.080
Density (kg/m³): 7018